# 1
Material: Ba3TlPd
Method: DFT, PBE-GGA
State: relaxed

a b c (Å): 10.1288 10.1288 8.4771
angles (deg): 90.12 90.12 76.89
Last column: nearest neighbours and their distance in Å.
Fractional coordinates of all 20 atoms:
Ba  0.0366  0.1778  0.1000  2 Pd 3.26-3.32
Ba  0.0631  0.4337  0.7079  3 Pd 3.28-3.40
Ba  0.1778  0.0366  0.6000  2 Pd 3.26-3.32
Ba  0.3234  0.4611  0.0992  2 Pd 3.28-3.30
Ba  0.4337  0.0631  0.2079  3 Pd 3.28-3.40
Ba  0.4611  0.3234  0.5992  2 Pd 3.28-3.30
Ba  0.5389  0.6766  0.4008  2 Pd 3.28-3.30
Ba  0.5663  0.9369  0.7921  3 Pd 3.28-3.40
Ba  0.6766  0.5389  0.9008  2 Pd 3.28-3.30
Ba  0.8222  0.9634  0.4000  2 Pd 3.26-3.32
Ba  0.9369  0.5663  0.2921  3 Pd 3.28-3.40
Ba  0.9634  0.8222  0.9000  2 Pd 3.26-3.32
Tl  0.1893  0.8107  0.2500  8 Ba 3.72-3.96
Tl  0.3117  0.6883  0.7500  8 Ba 3.71-4.01
Tl  0.6883  0.3117  0.2500  8 Ba 3.71-4.01
Tl  0.8107  0.1893  0.7500  8 Ba 3.72-3.96
Pd  0.1987  0.3005  0.3771  7 Ba 3.26-3.40
Pd  0.3005  0.1987  0.8771  7 Ba 3.26-3.40
Pd  0.6995  0.8013  0.1229  7 Ba 3.26-3.40
Pd  0.8013  0.6995  0.6229  7 Ba 3.26-3.40

- Space group: No. 15
- Formation energy: -0.328 eV/atom
- D(E_F): 17.142 states/eV per cell
- Distance to the lowest polymorph of the same formula: 3.3 kJ per mole of atoms
- Spin magnetization: 0.00 μB/f.u.

# 2
Material: BaTl9Pd2
Method: DFT, PBE-GGA
State: relaxed

a b c (Å): 10.0417 10.0417 10.0417
angles (deg): 99.13 99.13 133.05
Last column: nearest neighbours and their distance in Å.
Fractional coordinates of all 24 atoms:
Ba  0.3750  0.6250  0.7500  10 Tl 3.78-4.00
Ba  0.6250  0.3750  0.2500  10 Tl 3.78-4.00
Tl  0.1135  0.5547  0.3137  2 Pd 3.00-3.15, 5 Tl 3.19-3.31
Tl  0.1135  0.7998  0.5588  2 Pd 3.00-3.15, 5 Tl 3.19-3.31
Tl  0.1250  0.8750  0.2500  8 Tl 3.31, 4 Pd 3.41
Tl  0.2002  0.2590  0.3137  2 Pd 3.00-3.15, 5 Tl 3.19-3.31
Tl  0.2002  0.8865  0.9412  2 Pd 3.00-3.15, 5 Tl 3.19-3.31
Tl  0.2590  0.2002  0.8137  2 Pd 3.00-3.15, 5 Tl 3.19-3.31
Tl  0.2590  0.4453  0.0588  2 Pd 3.00-3.15, 5 Tl 3.19-3.31
Tl  0.4453  0.2590  0.5588  2 Pd 3.00-3.15, 5 Tl 3.19-3.31
Tl  0.4453  0.8865  0.1863  2 Pd 3.00-3.15, 5 Tl 3.19-3.31
Tl  0.5547  0.1135  0.8137  2 Pd 3.00-3.15, 5 Tl 3.19-3.31
Tl  0.5547  0.7410  0.4412  2 Pd 3.00-3.15, 5 Tl 3.19-3.31
Tl  0.7410  0.5547  0.9412  2 Pd 3.00-3.15, 5 Tl 3.19-3.31
Tl  0.7410  0.7998  0.1863  2 Pd 3.00-3.15, 5 Tl 3.19-3.31
Tl  0.7998  0.1135  0.0588  2 Pd 3.00-3.15, 5 Tl 3.19-3.31
Tl  0.7998  0.7410  0.6863  2 Pd 3.00-3.15, 5 Tl 3.19-3.31
Tl  0.8750  0.1250  0.7500  8 Tl 3.31, 4 Pd 3.41
Tl  0.8865  0.2002  0.4412  2 Pd 3.00-3.15, 5 Tl 3.19-3.31
Tl  0.8865  0.4453  0.6863  2 Pd 3.00-3.15, 5 Tl 3.19-3.31
Pd  0.0000  0.0000  0.0000  8 Tl 3.00-3.15
Pd  0.0000  0.0000  0.5000  8 Tl 3.00-3.15
Pd  0.0000  0.5000  0.0000  8 Tl 3.00-3.15
Pd  0.5000  0.0000  0.5000  8 Tl 3.00-3.15

- Space group: No. 141
- Formation energy: -0.113 eV/atom
- D(E_F): 9.480 states/eV per cell
- Spin magnetization: 0.00 μB/f.u.

# 3
Material: Ba2Tl6Pd3
Method: DFT, PBE-GGA
State: relaxed

a b c (Å): 8.6121 8.6121 4.9235
angles (deg): 90.00 90.00 120.00
Last column: nearest neighbours and their distance in Å.
Fractional coordinates of all 11 atoms:
Ba  0.3333  0.6667  0.0000  9 Tl 3.53-3.87, 6 Pd 3.68
Ba  0.6667  0.3333  0.0000  9 Tl 3.53-3.87, 6 Pd 3.68
Tl  0.0000  0.3079  0.5000  3 Pd 2.80-2.94
Tl  0.0000  0.7915  0.0000  2 Pd 2.81, 2 Tl 3.11
Tl  0.2085  0.2085  0.0000  2 Pd 2.81, 2 Tl 3.11
Tl  0.3079  0.0000  0.5000  3 Pd 2.80-2.94
Tl  0.6921  0.6921  0.5000  3 Pd 2.80-2.94
Tl  0.7915  0.0000  0.0000  2 Pd 2.81, 2 Tl 3.11
Pd  0.0000  0.6335  0.5000  5 Tl 2.80-2.94
Pd  0.3665  0.3665  0.5000  5 Tl 2.80-2.94
Pd  0.6335  0.0000  0.5000  5 Tl 2.80-2.94

- Space group: No. 189
- Formation energy: -0.314 eV/atom
- D(E_F): 6.279 states/eV per cell
- Spin magnetization: 0.00 μB/f.u.

# 4
Material: Ba3TlPd
Method: DFT, PBE-GGA
State: relaxed

a b c (Å): 6.1683 6.1683 6.1683
angles (deg): 90.00 90.00 90.00
Last column: nearest neighbours and their distance in Å.
Fractional coordinates of all 5 atoms:
Ba  0.0000  0.0000  0.5000  2 Pd 3.08
Ba  0.0000  0.5000  0.0000  2 Pd 3.08
Ba  0.5000  0.0000  0.0000  2 Pd 3.08
Tl  0.5000  0.5000  0.5000  12 Ba 4.36
Pd  0.0000  0.0000  0.0000  6 Ba 3.08

- Space group: No. 221
- Formation energy: -0.278 eV/atom
- D(E_F): 5.635 states/eV per cell
- Distance to the lowest polymorph of the same formula: 8.1 kJ per mole of atoms
- Spin magnetization: 0.66 μB/f.u.

# 5
Material: Ba2Tl5Pd3
Method: DFT, PBE-GGA
State: relaxed

a b c (Å): 9.8181 9.8181 9.8181
angles (deg): 111.25 83.84 138.14
Last column: nearest neighbours and their distance in Å.
Fractional coordinates of all 20 atoms:
Ba  0.1215  0.2349  0.3565  6 Pd 3.61-3.99, 10 Tl 3.69-3.98
Ba  0.3785  0.7349  0.1134  6 Pd 3.61-3.99, 10 Tl 3.69-3.98
Ba  0.6215  0.2651  0.8866  6 Pd 3.61-3.99, 10 Tl 3.69-3.98
Ba  0.8785  0.7651  0.6435  6 Pd 3.61-3.99, 10 Tl 3.69-3.98
Tl  0.0192  0.7500  0.2692  2 Pd 2.81
Tl  0.1171  0.8756  0.9927  3 Pd 2.73-2.81
Tl  0.2500  0.7500  0.5000  4 Pd 2.84
Tl  0.3829  0.3756  0.7586  3 Pd 2.73-2.81
Tl  0.4808  0.7500  0.7308  2 Pd 2.81
Tl  0.5192  0.2500  0.2692  2 Pd 2.81
Tl  0.6171  0.6244  0.2414  3 Pd 2.73-2.81
Tl  0.7500  0.2500  0.5000  4 Pd 2.84
Tl  0.8829  0.1244  0.0073  3 Pd 2.73-2.81
Tl  0.9808  0.2500  0.7308  2 Pd 2.81
Pd  0.1171  0.6294  0.7465  5 Tl 2.73-2.84
Pd  0.2500  0.2500  0.0000  4 Tl 2.81
Pd  0.3829  0.1294  0.5124  5 Tl 2.73-2.84
Pd  0.6171  0.8706  0.4876  5 Tl 2.73-2.84
Pd  0.7500  0.7500  0.0000  4 Tl 2.81
Pd  0.8829  0.3706  0.2535  5 Tl 2.73-2.84

- Space group: No. 72
- Formation energy: -0.358 eV/atom
- D(E_F): 12.866 states/eV per cell
- Distance to the lowest polymorph of the same formula: 0.7 kJ per mole of atoms
- Spin magnetization: 0.00 μB/f.u.

# 6
Material: BaTl3Pd3
Method: DFT, PBE-GGA
State: relaxed

a b c (Å): 7.5029 7.5029 7.5029
angles (deg): 74.38 74.38 74.38
Last column: nearest neighbours and their distance in Å.
Fractional coordinates of all 14 atoms:
Ba  0.1759  0.1759  0.1759  6 Pd 3.35-3.58
Ba  0.8241  0.8241  0.8241  6 Pd 3.35-3.58
Tl  0.0967  0.6716  0.3493  4 Pd 2.75-2.88
Tl  0.3284  0.6507  0.9033  4 Pd 2.75-2.88
Tl  0.3493  0.0967  0.6716  4 Pd 2.75-2.88
Tl  0.6507  0.9033  0.3284  4 Pd 2.75-2.88
Tl  0.6716  0.3493  0.0967  4 Pd 2.75-2.88
Tl  0.9033  0.3284  0.6507  4 Pd 2.75-2.88
Pd  0.1817  0.4671  0.7113  4 Tl 2.75-2.88, 2 Pd 2.84
Pd  0.2887  0.8183  0.5329  4 Tl 2.75-2.88, 2 Pd 2.84
Pd  0.4671  0.7113  0.1817  4 Tl 2.75-2.88, 2 Pd 2.84
Pd  0.5329  0.2887  0.8183  4 Tl 2.75-2.88, 2 Pd 2.84
Pd  0.7113  0.1817  0.4671  4 Tl 2.75-2.88, 2 Pd 2.84
Pd  0.8183  0.5329  0.2887  4 Tl 2.75-2.88, 2 Pd 2.84

- Space group: No. 148
- Formation energy: -0.255 eV/atom
- D(E_F): 7.917 states/eV per cell
- Distance to the lowest polymorph of the same formula: 3.9 kJ per mole of atoms
- Spin magnetization: 0.00 μB/f.u.

# 7
Material: Ba2Tl4Pd5
Method: DFT, PBE-GGA
State: relaxed

a b c (Å): 10.0746 9.1115 6.1235
angles (deg): 80.19 63.02 36.79
Last column: nearest neighbours and their distance in Å.
Fractional coordinates of all 11 atoms:
Ba  0.1294  0.1294  0.8706  6 Tl 3.52-3.59, 10 Pd 3.69-3.80
Ba  0.8706  0.8706  0.1294  6 Tl 3.52-3.59, 10 Pd 3.69-3.80
Tl  0.2110  0.5322  0.4678  5 Pd 2.76-2.85
Tl  0.4678  0.7890  0.2110  5 Pd 2.76-2.85
Tl  0.5322  0.2110  0.7890  5 Pd 2.76-2.85
Tl  0.7890  0.4678  0.5322  5 Pd 2.76-2.85
Pd  0.0000  0.0000  0.5000  4 Tl 2.85, 4 Pd 3.06-3.08
Pd  0.2500  0.2500  0.2500  4 Tl 2.76, 2 Pd 3.08
Pd  0.5000  0.5000  0.0000  4 Tl 2.85, 4 Pd 3.06-3.08
Pd  0.5000  0.5000  0.5000  4 Tl 2.78, 4 Pd 3.06
Pd  0.7500  0.7500  0.7500  4 Tl 2.76, 2 Pd 3.08

- Space group: No. 69
- Formation energy: -0.379 eV/atom
- D(E_F): 7.323 states/eV per cell
- Spin magnetization: 0.00 μB/f.u.

# 8
Material: BaTlZn2Pd
Method: DFT, PBE-GGA
State: relaxed

a b c (Å): 5.0099 5.0099 5.3064
angles (deg): 90.00 90.00 90.00
Last column: nearest neighbours and their distance in Å.
Fractional coordinates of all 5 atoms:
Ba  0.0000  0.0000  0.0000  4 Tl 3.54, 8 Zn 3.65
Tl  0.5000  0.5000  0.0000  2 Pd 2.65
Zn  0.0000  0.5000  0.5000  2 Pd 2.50
Zn  0.5000  0.0000  0.5000  2 Pd 2.50
Pd  0.5000  0.5000  0.5000  4 Zn 2.50, 2 Tl 2.65

- Space group: No. 123
- Formation energy: -0.264 eV/atom
- D(E_F): 3.579 states/eV per cell
- Spin magnetization: 0.00 μB/f.u.

# 9
Material: Ba3Tl2Zn2Pd4
Method: DFT, PBE-GGA
State: relaxed

a b c (Å): 4.6412 4.6412 16.4931
angles (deg): 90.00 90.00 120.00
Last column: nearest neighbours and their distance in Å.
Fractional coordinates of all 11 atoms:
Ba  0.0000  0.0000  0.0000  6 Pd 3.47, 6 Zn 3.49
Ba  0.0000  0.0000  0.2723  6 Pd 3.32-3.52, 3 Zn 3.50
Ba  0.0000  0.0000  0.7277  6 Pd 3.32-3.52, 3 Zn 3.50
Tl  0.3333  0.6667  0.5660  4 Pd 2.77-2.88
Tl  0.6667  0.3333  0.4340  4 Pd 2.77-2.88
Zn  0.3333  0.6667  0.1360  3 Pd 2.68
Zn  0.6667  0.3333  0.8640  3 Pd 2.68
Pd  0.3333  0.6667  0.3912  4 Tl 2.77-2.88
Pd  0.3333  0.6667  0.8661  3 Zn 2.68
Pd  0.6667  0.3333  0.1339  3 Zn 2.68
Pd  0.6667  0.3333  0.6088  4 Tl 2.77-2.88

- Space group: No. 164
- Formation energy: -0.414 eV/atom
- D(E_F): 4.123 states/eV per cell
- Spin magnetization: 0.00 μB/f.u.

# 10
Material: BaTl2ZnPd
Method: DFT, PBE-GGA
State: relaxed

a b c (Å): 5.3807 5.3807 5.0249
angles (deg): 90.00 90.00 90.00
Last column: nearest neighbours and their distance in Å.
Fractional coordinates of all 5 atoms:
Ba  0.0000  0.0000  0.0000  8 Tl 3.68, 4 Zn 3.80
Tl  0.0000  0.5000  0.5000  2 Pd 2.69
Tl  0.5000  0.0000  0.5000  2 Pd 2.69
Zn  0.5000  0.5000  0.0000  2 Pd 2.51
Pd  0.5000  0.5000  0.5000  2 Zn 2.51, 4 Tl 2.69

- Space group: No. 123
- Formation energy: -0.235 eV/atom
- D(E_F): 2.782 states/eV per cell
- Spin magnetization: 0.00 μB/f.u.

# 11
Material: BaTmPd
Method: DFT, PBE-GGA
State: relaxed

a b c (Å): 11.6948 11.6948 7.7484
angles (deg): 93.58 93.58 25.48
Last column: nearest neighbours and their distance in Å.
Fractional coordinates of all 12 atoms:
Ba  0.0840  0.0840  0.3026  4 Pd 3.67-3.72, 2 Tm 3.72-3.85
Ba  0.4098  0.4098  0.1734  2 Pd 3.14-3.25
Ba  0.5902  0.5902  0.8266  2 Pd 3.14-3.25
Ba  0.9160  0.9160  0.6974  4 Pd 3.67-3.72, 2 Tm 3.72-3.85
Tm  0.2159  0.2159  0.6116  4 Pd 2.75-2.81
Tm  0.2391  0.2391  0.1343  4 Pd 2.85-3.18
Tm  0.7609  0.7609  0.8657  4 Pd 2.85-3.18
Tm  0.7841  0.7841  0.3884  4 Pd 2.75-2.81
Pd  0.3131  0.3131  0.8465  4 Tm 2.78-2.88, 1 Pd 2.90
Pd  0.3245  0.3245  0.4760  3 Tm 2.75-2.81, 1 Pd 2.90
Pd  0.6755  0.6755  0.5240  3 Tm 2.75-2.81, 1 Pd 2.90
Pd  0.6869  0.6869  0.1535  4 Tm 2.78-2.88, 1 Pd 2.90

- Space group: No. 12
- Formation energy: -0.477 eV/atom
- D(E_F): 10.121 states/eV per cell
- Spin magnetization: 0.00 μB/f.u.

# 12
Material: BaVPd2
Method: DFT, PBE-GGA
State: relaxed

a b c (Å): 7.0874 7.0874 7.0874
angles (deg): 90.00 90.00 90.00
Last column: nearest neighbours and their distance in Å.
Fractional coordinates of all 16 atoms:
Ba  0.0000  0.0000  0.0000  8 Pd 3.07
Ba  0.0000  0.5000  0.5000  8 Pd 3.07
Ba  0.5000  0.0000  0.5000  8 Pd 3.07
Ba  0.5000  0.5000  0.0000  8 Pd 3.07
V  0.0000  0.0000  0.5000  8 Pd 3.07
V  0.0000  0.5000  0.0000  8 Pd 3.07
V  0.5000  0.0000  0.0000  8 Pd 3.07
V  0.5000  0.5000  0.5000  8 Pd 3.07
Pd  0.2500  0.2500  0.2500  4 Ba 3.07, 4 V 3.07
Pd  0.2500  0.2500  0.7500  4 Ba 3.07, 4 V 3.07
Pd  0.2500  0.7500  0.2500  4 Ba 3.07, 4 V 3.07
Pd  0.2500  0.7500  0.7500  4 Ba 3.07, 4 V 3.07
Pd  0.7500  0.2500  0.2500  4 Ba 3.07, 4 V 3.07
Pd  0.7500  0.2500  0.7500  4 Ba 3.07, 4 V 3.07
Pd  0.7500  0.7500  0.2500  4 Ba 3.07, 4 V 3.07
Pd  0.7500  0.7500  0.7500  4 Ba 3.07, 4 V 3.07

- Space group: No. 225
- Formation energy: 0.248 eV/atom
- D(E_F): 19.748 states/eV per cell
- Distance to the lowest polymorph of the same formula: 11.0 kJ per mole of atoms
- Spin magnetization: 2.82 μB/f.u.

no.,raw total energy (eV for the cell shown)
1,-59.9
2,-69.9
3,-37.1
4,-14.7
5,-69.7
6,-52.8
7,-43.4
8,-13.4
9,-38.4
10,-14.3
11,-52.1
12,-81.7